# PBE BaTaIn2, relaxed
# E above lowest polymorph, meV/atom: 601
data_BaTaIn2
_chemical_formula_sum 'Ba4 Ta4 In8'
_cell_length_a 7.6624
_cell_length_b 7.6624
_cell_length_c 7.6624
_cell_angle_alpha 90.00
_cell_angle_beta 90.00
_cell_angle_gamma 90.00
_symmetry_space_group_name_H-M 'F -4 3 m'
_symmetry_Int_Tables_number 216
_symmetry_space_group_name_Hall 'F -4 2 3'
loop_
_atom_site_label
_atom_site_type_symbol
_atom_site_fract_x
_atom_site_fract_y
_atom_site_fract_z
Ba1 Ba 0.0000 0.0000 0.0000
Ta1 Ta 0.2500 0.2500 0.2500
In1 In 0.0000 0.0000 0.5000
In2 In 0.2500 0.2500 0.7500